1.
First-principles (PBE) data for a relaxed TcSeF3 crystal, as listed in Alexandria.

Geometry as POSCAR:
```
TcSeF3
1.0
4.4558 0.0000 0.0000
0.0000 4.4558 0.0000
0.0000 0.0000 4.4558
Tc Se F
1 1 3
Cartesian
0.0000 0.0000 0.0000
2.2279 2.2279 2.2279
0.0000 2.2279 2.2279
2.2279 0.0000 2.2279
2.2279 2.2279 0.0000
```

Computed properties:
Distance to the lowest polymorph of the same formula: 1419 meV/atom
Space-group type: Pm-3m
Formation energy without anion corrections: -0.012 eV/atom

2.
First-principles (PBE) data for a relaxed TcSeF3 crystal, as listed in Alexandria.

Geometry as POSCAR:
```
TcSeF3
1.0
7.0607 0.0000 0.0000
0.0000 5.4031 0.0000
-6.2713 0.0000 8.3021
Tc Se F
4 4 12
Cartesian
-1.5545 0.3553 3.5834
-4.6901 2.3463 7.7345
5.4796 3.0568 0.5676
2.3440 5.0478 4.7186
0.8074 0.7406 3.1913
-2.3282 1.9610 7.3423
3.1177 3.4421 0.9598
-0.0179 4.6625 5.1108
-1.7086 4.0027 2.3859
-4.8443 4.1019 6.5369
0.4805 3.2120 1.0127
-2.6551 4.8927 5.1638
1.3088 0.7090 0.4005
-1.8268 1.9925 4.5515
2.6163 3.4106 3.7506
-0.5193 4.6941 7.9016
3.4446 0.5104 3.1383
0.3090 2.1911 7.2893
5.6337 1.3012 1.7652
2.4981 1.4004 5.9162
```

Computed properties:
Distance to the lowest polymorph of the same formula: 0 meV/atom
Space-group type: P2_1/c
Formation energy without anion corrections: -1.431 eV/atom

3.
First-principles (PBE) data for a relaxed TcSeF crystal, as listed in Alexandria.

Geometry as POSCAR:
```
TcSeF
1.0
6.2812 0.0000 0.0000
0.0000 5.9263 0.0000
-3.0647 0.0000 5.5031
Tc Se F
4 4 4
Cartesian
0.6280 0.0000 1.5193
-0.5526 5.9016 3.8945
3.7692 2.9384 1.6086
2.5886 2.9632 3.9838
-2.5013 4.8631 4.8491
-1.4159 2.1991 3.5996
4.6325 5.1623 1.9035
5.7179 1.9000 0.6540
2.4336 0.7940 0.5368
1.8102 3.8053 2.1572
1.4063 0.8421 3.3459
0.7830 3.7572 4.9664
```

Computed properties:
Space-group type: P2_1
Formation energy without anion corrections: -0.743 eV/atom

4.
First-principles (PBE) data for a relaxed YTcSeF2 crystal, as listed in Alexandria.

Geometry as POSCAR:
```
YTcSeF2
1.0
4.4378 0.0000 0.0000
0.0000 4.4378 0.0000
0.0000 0.0000 4.7116
Y Tc Se F
1 1 1 2
Cartesian
0.0000 0.0000 0.0000
2.2189 2.2189 0.0000
2.2189 2.2189 2.3558
0.0000 2.2189 2.3558
2.2189 0.0000 2.3558
```

Computed properties:
Space-group type: P4/mmm
Formation energy without anion corrections: -0.622 eV/atom

5.
First-principles (PBE) data for a relaxed TeSeF crystal, as listed in Alexandria.

Geometry as POSCAR:
```
TeSeF
1.0
3.6903 0.0000 0.0000
-1.6692 6.2546 0.0000
-1.8284 -2.6204 6.5899
Te Se F
2 2 2
Cartesian
0.0315 -0.2409 1.6833
0.1612 3.8752 4.9066
0.0562 -0.4815 4.9067
0.1365 4.1158 1.6832
-1.5253 2.4392 4.9226
1.7180 1.1950 1.6674
```

Computed properties:
Distance to the lowest polymorph of the same formula: 0 meV/atom
Space-group type: P-1
Formation energy without anion corrections: -0.806 eV/atom

6.
First-principles (PBE) data for a relaxed TeSeF crystal, as listed in Alexandria.

Geometry as POSCAR:
```
TeSeF
1.0
5.1732 0.0000 0.0000
-0.6987 5.1598 0.0000
-2.3281 -1.0458 6.2978
Te Se F
2 2 2
Cartesian
1.0359 1.3374 0.0007
1.1106 2.7766 6.2970
-0.1832 2.4995 1.8540
2.3296 1.6145 4.4438
-0.0728 3.7603 4.8882
2.2193 0.3537 1.4096
```

Computed properties:
Distance to the lowest polymorph of the same formula: 63 meV/atom
Space-group type: P-1
Formation energy without anion corrections: -0.743 eV/atom